[1]
Material: CdHgBi2I
Method: DFT, PBE
State: optimized geometry

Results
- total DFT energy (no corrections) (eV per atom) = -1.55
- formation energy from raw total energies (eV/atom) = 0.55
- symmetry = P4/mmm, No. 123

Cell and atoms, written as extended XYZ:
```
5
Lattice="5.780 0.000 0.000 0.000 6.149 0.000 0.000 0.000 5.780" Properties=species:S:1:pos:R:3 pbc="T T T"
I 0.000 3.074 0.000
Cd 2.890 3.074 2.890
Bi 0.000 0.000 2.890
Bi 2.890 0.000 0.000
Hg 0.000 0.000 0.000
```


[2]
Material: Cd2In4HgBi
Method: DFT, PBE
State: optimized geometry

Results
- total DFT energy (no corrections) (eV per atom) = -2.08
- symmetry = P2/m, No. 10
- formation energy (meV/atom) = 36

Cell and atoms, written as extended XYZ:
```
8
Lattice="-1.314 -4.364 0.130 4.883 -1.497 -0.891 6.382 -1.682 8.067" Properties=species:S:1:pos:R:3 pbc="T T T"
Cd 6.382 -1.682 8.067
Cd 2.534 -3.023 4.098
In 8.456 -2.386 5.382
In 1.495 -5.157 1.924
In 4.574 -3.720 1.310
In 5.378 -3.823 5.995
Hg 1.785 -2.931 -0.381
Bi 5.633 -1.590 3.588
```


[3]
Material: Cd2InHg2Bi
Method: DFT, PBE
State: optimized geometry

Results
- total DFT energy (no corrections) (eV per atom) = -1.46
- symmetry = P2_1/m, No. 11
- formation energy (meV/atom) = 50

Cell and atoms, written as extended XYZ:
```
12
Lattice="5.917 0.000 0.000 0.000 7.476 0.511 0.000 -2.181 7.338" Properties=species:S:1:pos:R:3 pbc="T T T"
Cd 1.479 -0.581 4.046
Cd 1.479 2.411 4.639
Cd 4.438 5.876 3.803
Cd 4.438 2.884 3.211
In 1.479 0.533 7.105
In 4.438 4.761 0.744
Hg 2.975 0.613 1.495
Hg 5.900 0.613 1.495
Hg 0.017 4.682 6.354
Hg 2.942 4.682 6.354
Bi 4.438 0.756 5.398
Bi 1.479 4.538 2.451
```


[4]
Material: CdIn2Hg4Bi
Method: DFT, PBE
State: optimized geometry

Results
- total DFT energy (no corrections) (eV per atom) = -1.40
- symmetry = P2/m, No. 10
- formation energy (meV/atom) = 37

Cell and atoms, written as extended XYZ:
```
8
Lattice="4.790 0.000 0.000 0.000 6.803 0.491 0.000 2.975 7.136" Properties=species:S:1:pos:R:3 pbc="T T T"
Cd 0.000 4.889 3.813
In 0.000 2.975 7.136
In 2.395 1.487 3.568
Hg 0.000 7.322 5.655
Hg 4.790 2.456 1.972
Hg 2.395 5.848 2.218
Hg 2.395 3.930 5.408
Bi 2.395 3.402 0.245
```


[5]
Material: Cd2InHgBi
Method: DFT, PBE
State: optimized geometry

Results
- total DFT energy (no corrections) (eV per atom) = -1.71
- symmetry = C2/m, No. 12
- formation energy (meV/atom) = 43

Cell and atoms, written as extended XYZ:
```
10
Lattice="4.938 0.000 0.000 -2.469 7.058 0.111 0.000 -1.566 8.008" Properties=species:S:1:pos:R:3 pbc="T T T"
Cd 0.000 5.700 5.602
Cd 2.469 -0.208 2.517
Cd 0.000 0.471 6.148
Cd 2.469 5.021 1.971
In 2.469 2.415 0.258
In 0.000 3.078 7.861
Hg 0.000 0.959 1.309
Hg 2.469 4.533 6.810
Bi 0.000 3.693 3.291
Bi 2.469 1.799 4.828
```


[6]
Material: CdIn2HgBi
Method: DFT, PBE
State: optimized geometry

Results
- total DFT energy (no corrections) (eV per atom) = -2.06
- symmetry = P2_1/m, No. 11
- formation energy (meV/atom) = 59

Cell and atoms, written as extended XYZ:
```
10
Lattice="-1.746 -2.880 2.893 -4.346 -2.642 -5.253 9.565 -4.257 1.535" Properties=species:S:1:pos:R:3 pbc="T T T"
Cd -0.532 -1.530 -0.141
Cd 4.004 -8.248 -0.684
In 2.452 -6.024 0.593
In 1.021 -3.755 -1.418
In -2.083 -4.541 -0.668
In 5.556 -5.237 -0.157
Hg -2.836 -3.341 -3.334
Hg 6.308 -6.437 2.509
Bi 3.270 -3.000 0.691
Bi 0.203 -6.779 -1.516
```


[7]
Material: Cd2In2Hg7Bi
Method: DFT, PBE
State: optimized geometry

Results
- total DFT energy (no corrections) (eV per atom) = -1.07
- symmetry = C2/m, No. 12
- formation energy (meV/atom) = 42

Cell and atoms, written as extended XYZ:
```
12
Lattice="5.871 0.000 0.000 0.000 5.878 -0.184 -2.936 -3.231 9.360" Properties=species:S:1:pos:R:3 pbc="T T T"
Cd 0.000 2.732 4.537
Cd 2.936 -0.088 4.636
In 0.000 -0.266 6.215
In 2.936 2.911 2.962
Hg 0.000 2.650 7.590
Hg 2.936 2.768 5.969
Hg 0.000 2.900 1.488
Hg 2.936 0.001 1.582
Hg 0.000 -0.124 3.208
Hg 2.936 -0.251 7.686
Hg 2.936 2.943 -0.091
Bi 0.000 0.000 0.002
```


[8]
Material: Cd2In3Hg6Bi
Method: DFT, PBE
State: optimized geometry

Results
- total DFT energy (no corrections) (eV per atom) = -1.28
- symmetry = C2/m, No. 12
- formation energy (meV/atom) = 31

Cell and atoms, written as extended XYZ:
```
12
Lattice="-1.207 3.128 1.475 -7.732 -4.974 4.221 9.593 -0.323 3.989" Properties=species:S:1:pos:R:3 pbc="T T T"
Cd 0.301 -0.810 6.514
Cd 0.352 -1.359 3.170
In -4.470 -0.923 2.848
In 4.249 1.627 4.576
In -3.596 -3.796 5.108
Hg -1.055 -3.625 6.825
Hg -2.198 -1.000 4.870
Hg 1.709 1.456 2.860
Hg -1.902 -1.301 1.203
Hg 2.556 -0.867 8.481
Hg 2.852 -1.169 4.814
Bi -0.604 1.564 0.737
```


[9]
Material: Cd2In6Hg2Bi
Method: DFT, PBE
State: optimized geometry

Results
- total DFT energy (no corrections) (eV per atom) = -2.03
- symmetry = P-1, No. 2
- formation energy (meV/atom) = 34

Cell and atoms, written as extended XYZ:
```
11
Lattice="-0.642 -4.943 -5.242 1.598 -10.914 1.614 -4.988 2.792 -0.548" Properties=species:S:1:pos:R:3 pbc="T T T"
Cd -3.174 -4.962 -4.962
Cd -0.857 -8.102 0.787
In -3.476 -7.303 -0.971
In -0.269 -2.194 -0.898
In -3.115 -4.215 -1.796
In -3.762 -10.871 -3.278
In -0.916 -8.850 -2.380
In -0.556 -5.762 -3.205
Hg -0.533 -5.188 -0.066
Hg -3.498 -7.877 -4.110
Bi -2.815 -1.075 -2.895
```


[10]
Material: Cd2In2HgBi
Method: DFT, PBE
State: optimized geometry

Results
- total DFT energy (no corrections) (eV per atom) = -1.88
- symmetry = P2_1/m, No. 11
- formation energy (meV/atom) = 36

Cell and atoms, written as extended XYZ:
```
12
Lattice="-1.662 -0.416 -5.682 -7.098 -0.374 2.104 0.515 7.496 -0.699" Properties=species:S:1:pos:R:3 pbc="T T T"
Cd -2.441 1.343 -2.467
Cd -1.619 1.549 0.344
Cd -6.626 5.157 -4.621
Cd -5.804 5.363 -1.810
In -6.541 2.616 0.173
In -3.143 3.959 -0.920
In -1.704 4.090 -4.450
In -5.102 2.747 -3.357
Hg -3.720 6.360 -4.026
Hg -4.525 0.346 -0.251
Bi -0.924 6.106 -1.726
Bi -7.321 0.600 -2.551
```


[11]
Material: Cd4In2HgBi
Method: DFT, PBE
State: optimized geometry

Results
- total DFT energy (no corrections) (eV per atom) = -1.62
- symmetry = P1, No. 1
- formation energy (meV/atom) = 42

Cell and atoms, written as extended XYZ:
```
8
Lattice="7.640 -0.668 -0.787 -0.671 7.431 0.675 -3.853 -3.060 3.860" Properties=species:S:1:pos:R:3 pbc="T T T"
Cd 1.425 1.932 3.721
Cd 1.895 -2.491 3.339
Cd 1.460 6.275 1.245
Cd 1.277 1.745 0.679
In -0.942 3.471 2.256
In -0.389 -0.431 2.557
Hg 3.345 3.942 1.912
Bi 4.106 0.616 2.228
```


[12]
Material: Cd2In7Hg2Bi
Method: DFT, PBE
State: optimized geometry

Results
- total DFT energy (no corrections) (eV per atom) = -2.10
- symmetry = P-1, No. 2
- formation energy (meV/atom) = 24

Cell and atoms, written as extended XYZ:
```
12
Lattice="-1.916 -2.891 -2.963 0.853 -3.785 3.151 -10.020 7.916 9.318" Properties=species:S:1:pos:R:3 pbc="T T T"
Cd -6.846 0.650 7.328
Cd -4.236 0.590 2.178
In -7.921 2.347 9.896
In -5.784 -1.060 4.789
In -1.789 -1.541 2.683
In -3.160 -1.107 -0.390
In -5.299 2.300 4.717
In -9.293 2.780 6.823
In -10.550 4.578 9.411
Hg -8.235 1.104 4.292
Hg -2.847 0.136 5.214
Bi -11.082 1.240 9.506
```


Copy entry 9 word for word.
Material: Cd2In6Hg2Bi
Method: DFT, PBE
State: optimized geometry

Results
- total DFT energy (no corrections) (eV per atom) = -2.03
- symmetry = P-1, No. 2
- formation energy (meV/atom) = 34

Cell and atoms, written as extended XYZ:
```
11
Lattice="-0.642 -4.943 -5.242 1.598 -10.914 1.614 -4.988 2.792 -0.548" Properties=species:S:1:pos:R:3 pbc="T T T"
Cd -3.174 -4.962 -4.962
Cd -0.857 -8.102 0.787
In -3.476 -7.303 -0.971
In -0.269 -2.194 -0.898
In -3.115 -4.215 -1.796
In -3.762 -10.871 -3.278
In -0.916 -8.850 -2.380
In -0.556 -5.762 -3.205
Hg -0.533 -5.188 -0.066
Hg -3.498 -7.877 -4.110
Bi -2.815 -1.075 -2.895
```


Q: What is the total DFT energy (no corrections) in the second record?
A: -2.08 eV per atom


Copy entry 6 word for word.
Material: CdIn2HgBi
Method: DFT, PBE
State: optimized geometry

Results
- total DFT energy (no corrections) (eV per atom) = -2.06
- symmetry = P2_1/m, No. 11
- formation energy (meV/atom) = 59

Cell and atoms, written as extended XYZ:
```
10
Lattice="-1.746 -2.880 2.893 -4.346 -2.642 -5.253 9.565 -4.257 1.535" Properties=species:S:1:pos:R:3 pbc="T T T"
Cd -0.532 -1.530 -0.141
Cd 4.004 -8.248 -0.684
In 2.452 -6.024 0.593
In 1.021 -3.755 -1.418
In -2.083 -4.541 -0.668
In 5.556 -5.237 -0.157
Hg -2.836 -3.341 -3.334
Hg 6.308 -6.437 2.509
Bi 3.270 -3.000 0.691
Bi 0.203 -6.779 -1.516
```